No. 1
CaSn2Au3: relaxed, PBE.

```
12
Lattice="4.5953 0.0000 -1.2546 -0.4051 6.7041 -1.4837 -0.0384 -0.1441 8.9021" Properties=species:S:1:pos:R:3 pbc="T T T"
Ca 3.6746 5.5082 4.4159
Au 4.1271 2.0267 6.0732
Au 1.3523 0.4033 4.9531
Sn 2.1096 1.2516 7.7267
Au 2.7995 6.1567 1.2107
Au 0.0247 4.5333 0.0906
Sn 0.7671 4.4626 2.8096
Ca 0.4772 1.0517 1.7479
Au 1.4461 3.2931 5.2964
Sn 2.0422 5.3084 -1.5630
Au 2.7057 3.2668 0.8674
Sn 3.3847 2.0973 3.3542
```

## Properties
formation energy from the elements = -436 meV per atom
space group = No. 12

=====

No. 2
Ca4SnAu: relaxed, PBE.

```
6
Lattice="5.1849 0.0001 -0.0005 -0.0001 5.1856 -0.0002 0.0052 0.0087 7.5505" Properties=species:S:1:pos:R:3 pbc="T T T"
Ca 0.0068 2.5796 1.9247
Sn 2.6044 2.5875 7.5362
Au 0.0093 5.1758 3.7608
Ca 2.6036 5.1804 5.5974
Ca 0.0118 2.5865 5.5977
Ca 2.5998 5.1714 1.9240
```

## Properties
formation energy from the elements = -516 meV per atom
space group = No. 12

=====

No. 3
CaSn2Au: relaxed, PBE.

```
4
Lattice="4.6162 0.0000 0.0000 0.0000 4.5762 0.0000 0.0000 0.0000 4.5762" Properties=species:S:1:pos:R:3 pbc="T T T"
Sn 0.0000 0.0000 2.2881
Ca 2.3081 2.2881 2.2881
Sn 0.0000 2.2881 0.0000
Au 2.3081 0.0000 0.0000
```

## Properties
formation energy from the elements = -434 meV per atom
space group = No. 123

=====

No. 4
CaSn3Au2: relaxed, PBE.

```
12
Lattice="-3.1784 -2.9063 0.9787 4.0978 -7.7230 0.3397 3.0479 -3.9225 8.2154" Properties=species:S:1:pos:R:3 pbc="T T T"
Sn 3.7232 -8.2054 7.6557
Sn 0.6443 -8.5282 6.6638
Sn 0.2442 -6.3464 1.8781
Au 2.6078 -10.7120 6.5555
Ca 5.9214 -10.6373 7.5729
Sn 3.8412 -9.4550 4.3283
Sn 3.3231 -6.0236 2.8700
Au 1.3596 -3.8398 2.9783
Ca -1.9540 -3.9145 1.9609
Sn 0.1262 -5.0968 5.2056
Au 2.2507 -8.4892 2.0312
Au 1.7167 -6.0627 7.5026
```

## Properties
formation energy from the elements = -405 meV per atom
space group = No. 12

=====

No. 5
Ca3Sn2Au: relaxed, PBE.

```
24
Lattice="4.7167 0.0000 0.0000 0.0000 11.7185 0.0000 0.0000 0.0000 12.6284" Properties=species:S:1:pos:R:3 pbc="T T T"
Ca 3.5375 3.5966 9.8167
Ca 3.5375 6.5887 7.8767
Ca 3.5375 10.3071 5.6919
Ca 1.1792 9.4559 9.1259
Sn 3.5375 0.1276 8.7362
Sn 3.5375 3.5991 6.4673
Au 3.5375 7.3019 4.7646
Ca 1.1792 8.1219 2.8117
Ca 1.1792 0.7294 11.0659
Au 1.1792 4.4166 7.8638
Sn 3.5375 2.2602 0.1532
Ca 1.1792 5.1298 4.7517
Au 3.5375 10.2758 11.0787
Sn 1.1792 11.5909 3.8922
Ca 3.5375 10.9891 1.5625
Sn 1.1792 9.4583 12.4752
Ca 3.5375 7.2706 12.0061
Ca 1.1792 4.4479 0.6223
Sn 1.1792 5.9868 10.2064
Sn 3.5375 5.7317 2.4220
Au 1.1792 1.4427 1.5496
Ca 1.1792 1.4114 6.9365
Ca 3.5375 2.2626 3.5025
Sn 1.1792 8.1194 6.1610
```

## Properties
offset from the most stable computed form = 5 meV per atom
formation energy from the elements = -679 meV per atom
space group = No. 62

=====

No. 6
Ca3SnAu: relaxed, PBE.

```
5
Lattice="5.5840 0.0000 0.0000 0.0000 5.5840 0.0000 0.0000 0.0000 5.5840" Properties=species:S:1:pos:R:3 pbc="T T T"
Au 0.0000 0.0000 0.0000
Sn 2.7920 2.7920 2.7920
Ca 0.0000 2.7920 0.0000
Ca 0.0000 0.0000 2.7920
Ca 2.7920 0.0000 0.0000
```

## Properties
offset from the most stable computed form = 215 meV per atom
formation energy from the elements = -378 meV per atom
space group = No. 221

=====

No. 7
Ca3Sn2Au: relaxed, PBE.

```
6
Lattice="-0.6114 -3.5108 -0.0265 1.3512 -0.2104 -3.2909 11.5201 -2.0429 4.8606" Properties=species:S:1:pos:R:3 pbc="T T T"
Ca 0.0000 0.0000 0.0000
Sn 2.4135 -2.2230 -0.7965
Au 6.1300 -2.8821 0.7716
Sn 9.8464 -3.5412 2.3396
Ca 7.4530 -1.3217 3.1446
Ca 4.0672 -0.7213 1.7160
```

## Properties
offset from the most stable computed form = 0 meV per atom
formation energy from the elements = -685 meV per atom
space group = No. 123

=====

No. 8
CaSn3Au: relaxed, PBE.

```
5
Lattice="-2.9126 -3.3757 3.6395 -0.5725 -3.9632 -4.1340 4.9309 -2.4541 1.6698" Properties=species:S:1:pos:R:3 pbc="T T T"
Sn 2.4654 -1.2271 0.8349
Au 0.7229 -4.8965 0.5877
Sn -0.2863 -1.9816 -2.0670
Ca 0.0000 0.0000 0.0000
Sn -1.4563 -1.6878 1.8198
```

## Properties
formation energy from the elements = 870 meV per atom
space group = No. 221